# GGA-PBE NaAgPd3, relaxed
data_NaAgPd3
_cell_length_a 5.008
_cell_length_b 5.008
_cell_length_c 5.008
_cell_angle_alpha 90.00
_cell_angle_beta 90.00
_cell_angle_gamma 90.00
_symmetry_space_group_name_H-M 'P 1'
_symmetry_Int_Tables_number 1
_symmetry_space_group_name_Hall 'P 1'
loop_
_atom_site_label
_atom_site_fract_x
_atom_site_fract_y
_atom_site_fract_z
_atom_site_occupancy
Na1 0.000 0.000 0.000 1
Ag1 0.500 0.500 0.500 1
Pd1 0.000 0.500 0.500 1
Pd2 0.500 0.000 0.500 1
Pd3 0.500 0.500 0.000 1
# * formation energy: 0.709 eV per atom
# * energy relative to the lowest polymorph listed for this composition: 0.658 eV/atom
# * total DFT energy (no corrections): -16.20 eV/f.u.
# * crystal system: cubic
# * SG: Pm-3m
# * magnetization: 0.00 μB per formula unit